First-principles (GGA-PBE) data for ZrCuAg2 after structural relaxation, as listed in the Alexandria database.

a = 4.651 Å, b = 4.651 Å, c = 6.496 Å
α = 90.00°, β = 90.00°, γ = 90.00°
Space group I-4m2 (No. 119)
Unique sites:
Zr  0.000  0.000  0.000 [2 per cell]
Cu  0.000  0.500  0.250 [2 per cell]
Ag  0.000  0.000  0.500 [2 per cell]
Ag  0.000  0.500  0.750 [2 per cell]

Computed properties:
formation energy = 0.01 eV/atom
energy above the lowest structure with this stoichiometry = 22 meV/atom
ρ = 8757 kg/m³
E_tot = -4.574 eV per atom